## PmYTlZn (PBE-GGA)

Data for a relaxed PmYTlZn crystal.

Values from the calculation:
Calculated formation energy = -368 meV/atom
Fermi-level density of states = 0.84 states/eV per atom
V = 26.01 Å³/atom

Unit cell a=3.711 b=3.711 c=7.554 alpha=90.00 beta=90.00 gamma=90.00
Atoms (fractional coordinates):
1 Pm 0.000 0.000 0.000
2 Y 0.000 0.000 0.542
3 Tl 0.500 0.500 0.280
4 Zn 0.500 0.500 0.759

## CsTiTe3 (PBE-GGA)

Data for a relaxed CsTiTe3 crystal.

Values from the calculation:
V = 41.73 Å³/atom
Raw formation energy = -0.699 eV/atom

Unit cell a=10.158 b=7.340 c=14.311 alpha=90.00 beta=128.54 gamma=90.00
Atoms (fractional coordinates):
1 Cs 0.048 0.223 0.130
2 Cs 0.048 0.277 0.630
3 Cs 0.952 0.723 0.370
4 Cs 0.952 0.777 0.870
5 Ti 0.412 0.662 0.321
6 Ti 0.412 0.838 0.821
7 Ti 0.588 0.162 0.179
8 Ti 0.588 0.338 0.679
9 Te 0.099 0.724 0.187
10 Te 0.099 0.776 0.687
11 Te 0.438 0.023 0.667
12 Te 0.438 0.477 0.167
13 Te 0.478 0.667 0.545
14 Te 0.478 0.833 0.045
15 Te 0.522 0.167 0.955
16 Te 0.522 0.333 0.455
17 Te 0.562 0.523 0.833
18 Te 0.562 0.977 0.333
19 Te 0.901 0.224 0.313
20 Te 0.901 0.276 0.813

## CaMg2Sn2 (PBE-GGA)

Data for a relaxed CaMg2Sn2 crystal.

Values from the calculation:
Calculated formation energy = -355 meV/atom
Fermi-level density of states = 0.34 states/eV per atom
V = 27.31 Å³/atom

Unit cell a=7.120 b=7.120 c=7.120 alpha=141.88 beta=141.88 gamma=55.01
Atoms (fractional coordinates):
1 Ca 0.000 0.000 0.000
2 Mg 0.250 0.750 0.500
3 Mg 0.750 0.250 0.500
4 Sn 0.387 0.387 0.000
5 Sn 0.613 0.613 0.000